# Nd12Ho6Pu

Nd12Ho6Pu after structural relaxation (GGA-PBE, the Alexandria database).

Unit cell a=9.5740 b=9.5740 c=9.5740 alpha=110.92 beta=110.92 gamma=110.92
Last column: nearest neighbours and their distance in Å.
Element x y z (fractional)
Nd: 0.0576 0.5813 0.3726  4 Ho 3.60-3.68, 8 Nd 3.60-3.66
Nd: 0.1038 0.1555 0.7400  1 Pu 3.57, 8 Nd 3.57-3.66, 3 Ho 3.60-3.71
Nd: 0.9424 0.4187 0.6274  4 Ho 3.60-3.68, 8 Nd 3.60-3.66
Nd: 0.5813 0.3726 0.0576  4 Ho 3.60-3.68, 8 Nd 3.60-3.66
Nd: 0.6274 0.9424 0.4187  4 Ho 3.60-3.68, 8 Nd 3.60-3.66
Nd: 0.2600 0.8962 0.8445  1 Pu 3.57, 8 Nd 3.57-3.66, 3 Ho 3.60-3.71
Nd: 0.8445 0.2600 0.8962  1 Pu 3.57, 8 Nd 3.57-3.66, 3 Ho 3.60-3.71
Nd: 0.4187 0.6274 0.9424  4 Ho 3.60-3.68, 8 Nd 3.60-3.66
Nd: 0.3726 0.0576 0.5813  4 Ho 3.60-3.68, 8 Nd 3.60-3.66
Nd: 0.8962 0.8445 0.2600  1 Pu 3.57, 8 Nd 3.57-3.66, 3 Ho 3.60-3.71
Nd: 0.1555 0.7400 0.1038  1 Pu 3.57, 8 Nd 3.57-3.66, 3 Ho 3.60-3.71
Nd: 0.7400 0.1038 0.1555  1 Pu 3.57, 8 Nd 3.57-3.66, 3 Ho 3.60-3.71
Ho: 0.5309 0.7872 0.6843  4 Ho 3.52-3.60, 1 Pu 3.58, 7 Nd 3.60-3.71
Ho: 0.3157 0.4691 0.2128  4 Ho 3.52-3.60, 1 Pu 3.58, 7 Nd 3.60-3.71
Ho: 0.7872 0.6843 0.5309  4 Ho 3.52-3.60, 1 Pu 3.58, 7 Nd 3.60-3.71
Ho: 0.4691 0.2128 0.3157  4 Ho 3.52-3.60, 1 Pu 3.58, 7 Nd 3.60-3.71
Ho: 0.6843 0.5309 0.7872  4 Ho 3.52-3.60, 1 Pu 3.58, 7 Nd 3.60-3.71
Ho: 0.2128 0.3157 0.4691  4 Ho 3.52-3.60, 1 Pu 3.58, 7 Nd 3.60-3.71
Pu: 0.0000 0.0000 0.0000  6 Nd 3.57, 6 Ho 3.58

Calculated values
energy = -98.31 eV for the cell shown

---

# Ga2FePd8

Ga2FePd8 after structural relaxation (GGA-PBE, the Alexandria database).

Unit cell a=4.1043 b=6.2742 c=7.1354 alpha=109.27 beta=106.71 gamma=90.00
Last column: nearest neighbours and their distance in Å.
Element x y z (fractional)
Pd: 0.1529 0.2129 0.3057  3 Ga 2.63-2.68, 7 Pd 2.74-2.86, 2 Fe 2.90
Pd: 0.3250 0.0714 0.6501  1 Ga 2.51, 1 Fe 2.58, 6 Pd 2.76-2.80
Pd: 0.6750 0.9286 0.3499  1 Ga 2.51, 1 Fe 2.58, 6 Pd 2.76-2.80
Pd: 0.8471 0.7871 0.6943  3 Ga 2.63-2.68, 7 Pd 2.74-2.86, 2 Fe 2.90
Pd: 0.6035 0.4597 0.2070  3 Ga 2.60-2.84, 1 Fe 2.74, 5 Pd 2.76-2.80
Pd: 0.0386 0.7360 0.0771  1 Ga 2.61, 7 Pd 2.74-2.86, 2 Fe 2.80
Pd: 0.3965 0.5403 0.7930  3 Ga 2.60-2.84, 1 Fe 2.74, 5 Pd 2.76-2.80
Pd: 0.9614 0.2640 0.9229  1 Ga 2.61, 7 Pd 2.74-2.86, 2 Fe 2.80
Ga: 0.7860 0.3415 0.5721  7 Pd 2.51-2.68
Ga: 0.2140 0.6585 0.4279  7 Pd 2.51-2.68
Fe: 0.5000 0.0000 0.0000  8 Pd 2.58-2.80

Calculated values
energy = -59.86 eV for the cell shown

---

# ErAlGa3

ErAlGa3 after structural relaxation (GGA-PBE, the Alexandria database).

Unit cell a=4.7748 b=6.3394 c=6.5311 alpha=90.00 beta=90.00 gamma=90.00
Last column: nearest neighbours and their distance in Å.
Element x y z (fractional)
Er: 0.5000 0.0000 0.2062  10 Ga 3.04-3.32, 2 Al 3.22
Er: 0.0000 0.5000 0.7938  10 Ga 3.04-3.32, 2 Al 3.22
Al: 0.0000 0.0000 0.5363  3 Ga 2.49-2.62
Al: 0.5000 0.5000 0.4637  3 Ga 2.49-2.62
Ga: 0.5000 0.5000 0.0818  1 Al 2.49
Ga: 0.5000 0.8038 0.7347  1 Ga 2.49, 1 Al 2.62
Ga: 0.5000 0.1962 0.7347  1 Ga 2.49, 1 Al 2.62
Ga: 0.0000 0.6962 0.2653  1 Ga 2.49, 1 Al 2.62
Ga: 0.0000 0.3038 0.2653  1 Ga 2.49, 1 Al 2.62
Ga: 0.0000 0.0000 0.9182  1 Al 2.49

Calculated values
energy = -37.03 eV for the cell shown

---

# KGe2H

KGe2H after structural relaxation (GGA-PBE, the Alexandria database).

Unit cell a=4.9369 b=4.9369 c=4.9369 alpha=60.00 beta=60.00 gamma=60.00
Last column: nearest neighbours and their distance in Å.
Element x y z (fractional)
Ge: 0.2500 0.2500 0.2500  4 K 3.02, 4 H 3.02
Ge: 0.7500 0.7500 0.7500  4 H 3.02, 4 K 3.02
K: 0.5000 0.5000 0.5000  8 Ge 3.02
H: 0.0000 0.0000 0.0000  8 Ge 3.02

Calculated values
energy = -9.81 eV for the cell shown

---

# PmSb3

PmSb3 after structural relaxation (GGA-PBE, the Alexandria database).

Unit cell a=4.5255 b=4.5255 c=6.3229 alpha=110.97 beta=110.97 gamma=90.00
Last column: nearest neighbours and their distance in Å.
Element x y z (fractional)
Sb: 0.7500 0.2500 0.5000  8 Sb 3.20-3.54, 4 Pm 3.54
Sb: 0.2500 0.7500 0.5000  8 Sb 3.20-3.54, 4 Pm 3.54
Sb: 0.5000 0.5000 0.0000  4 Pm 3.20, 8 Sb 3.54
Pm: 0.0000 0.0000 0.0000  12 Sb 3.20-3.54

Calculated values
E_form (uncorrected) = -0.49 eV per atom
energy = -19.09 eV for the cell shown

---

# La2PmTh4

La2PmTh4 after structural relaxation (GGA-PBE, the Alexandria database).

Unit cell a=3.5933 b=3.5945 c=18.5826 alpha=90.00 beta=95.55 gamma=90.00
Last column: nearest neighbours and their distance in Å.
Element x y z (fractional)
Pm: 0.5000 0.0000 0.0000  4 Pm 3.59, 8 Th 3.66
Th: 0.0712 0.5000 0.1424  8 Th 3.51-3.59, 4 Pm 3.66
Th: 0.3635 0.0000 0.7270  8 Th 3.51-3.59, 4 La 3.56
Th: 0.6365 0.0000 0.2730  8 Th 3.51-3.59, 4 La 3.56
Th: 0.9288 0.5000 0.8576  8 Th 3.51-3.59, 4 Pm 3.66
La: 0.2040 0.5000 0.4080  4 Th 3.56, 6 La 3.59-3.85
La: 0.7960 0.5000 0.5920  4 Th 3.56, 6 La 3.59-3.85

Calculated values
energy = -43.85 eV for the cell shown

---

# NdGeP2

NdGeP2 after structural relaxation (GGA-PBE, the Alexandria database).

Unit cell a=4.4309 b=4.4309 c=7.6347 alpha=73.13 beta=73.13 gamma=60.00
Last column: nearest neighbours and their distance in Å.
Element x y z (fractional)
P: 0.1015 0.1015 0.6955  1 Ge 2.19
P: 0.8985 0.8985 0.3045  1 Ge 2.19
Nd: 0.5000 0.5000 0.5000  6 P 2.92
Ge: 0.0000 0.0000 0.0000  2 P 2.19

Calculated values
energy = -20.88 eV for the cell shown

---

# YScSe3

YScSe3 after structural relaxation (GGA-PBE, the Alexandria database).

Unit cell a=5.3170 b=5.3170 c=10.4969 alpha=75.33 beta=75.33 gamma=90.00
Last column: nearest neighbours and their distance in Å.
Element x y z (fractional)
Se: 0.1141 0.8573 0.7717  2 Se 2.59-2.73, 1 Sc 2.62
Se: 0.1427 0.8859 0.2283  2 Se 2.59-2.73, 1 Sc 2.62
Se: 0.7184 0.7184 0.5632  2 Sc 2.73, 2 Y 2.92
Se: 0.2816 0.2816 0.4368  2 Sc 2.73, 2 Y 2.92
Se: 0.1141 0.3710 0.7717  2 Se 2.59-2.73, 1 Sc 2.62
Se: 0.6290 0.8859 0.2283  2 Se 2.59-2.73, 1 Sc 2.62
Y: 0.6569 0.1569 0.6862  6 Se 2.92-3.10
Y: 0.8431 0.3431 0.3138  6 Se 2.92-3.10
Sc: 0.2500 0.7500 0.5000  8 Se 2.73-2.96
Sc: 0.0000 0.0000 0.0000  4 Se 2.62

Calculated values
E_form (uncorrected) = -1.14 eV per atom
energy = -57.88 eV for the cell shown